A relaxed SrGdCo crystal. Source: the Open Quantum Materials Database, functional PBE.

Computed properties:
space-group type	F-43m
VASP energy	-4.170	eV per atom

Cell lengths 4.9193, 4.9193, 4.9193 Å; angles 60.00, 60.00, 60.00 degrees
Element x y z (fractional)
Co (0.0000, 0.0000, 0.0000)
Sr (0.7500, 0.7500, 0.7500)
Gd (0.2500, 0.2500, 0.2500)